Computed, not measured: a relaxed InP2Os crystal at the GGA-PBEsol level of DFT.

## Properties
- Symmetry: P4/mmm (123)
- Calculated total energy: -6.609 eV/atom
- Total magnetic moment: 0.0 μB/f.u.
- DOS(E_F): 0.543 states/eV per atom

Geometry as extended XYZ:
```
4
Lattice="2.883 0.000 0.000 0.000 2.883 0.000 0.000 0.000 8.402" Properties=species:S:1:pos:R:3 pbc="T T T"
P 0.000 0.000 5.690
P 0.000 0.000 2.713
Os 1.441 1.441 4.201
In 1.441 1.441 0.000
```